Density functional theory data (PBE) for a relaxed structure of Sr6Si2H.

Lattice parameters (Å, degrees): 7.1369 8.3340 12.5387 90.00 124.65 90.00
With the nearest neighbours (Å) after each atom.
Fractional positions:
Sr 0.1141 0.1735 0.4371  1 H 2.80
Sr 0.1141 0.3265 0.9371  1 H 2.80
Sr 0.2637 0.6752 0.4363  1 H 3.05, 2 Si 3.22-3.31
Sr 0.2637 0.8248 0.9363  1 H 3.05, 2 Si 3.22-3.31
Sr 0.3768 0.0363 0.2509  1 H 2.74
Sr 0.3768 0.4637 0.7509  1 H 2.74
Sr 0.6232 0.5363 0.2491  1 H 2.74
Sr 0.6232 0.9637 0.7491  1 H 2.74
Sr 0.7363 0.1752 0.0637  1 H 3.05, 2 Si 3.22-3.31
Sr 0.7363 0.3248 0.5637  1 H 3.05, 2 Si 3.22-3.31
Sr 0.8859 0.6735 0.0629  1 H 2.80
Sr 0.8859 0.8265 0.5629  1 H 2.80
Si 0.2061 0.1118 0.7484  6 Sr 3.17-3.32
Si 0.2061 0.3882 0.2484  6 Sr 3.17-3.32
Si 0.7939 0.6118 0.7516  6 Sr 3.17-3.32
Si 0.7939 0.8882 0.2516  6 Sr 3.17-3.32
H 0.5000 0.0000 0.5000  6 Sr 2.74-3.05
H 0.5000 0.5000 0.0000  6 Sr 2.74-3.05

Properties
Its raw total energy is -2.97 eV per atom.